Entry i
The following is a DFT calculation (PBE-GGA) of a relaxed NaMgIN2 crystal.

Calculated values
The density is 2.71 g cm⁻³. The calculation puts the size of the total moment at 4.4 Bohr magnetons per cell.

a = 4.5691 Å, b = 4.5691 Å, c = 5.9452 Å
α = 90.00°, β = 90.00°, γ = 90.00°
With the nearest neighbours (Å) after each atom.
Space group P4/mmm (No. 123)
Asymmetric unit:
Na  0.0000  0.0000  0.0000 x1  4 N 2.28
Mg  0.5000  0.5000  0.5000 x1  4 I 3.23
I  0.0000  0.0000  0.5000 x1  2 Na 2.97, 4 Mg 3.23
N  0.0000  0.5000  0.0000 x2  2 Na 2.28



Entry ii
The following is a DFT calculation (PBE-GGA) of a relaxed NaMgIN2 crystal.

Calculated values
The density is 2.89 g cm⁻³. The calculation puts the size of the total moment at 4.0 Bohr magnetons per cell.

a = 4.3418 Å, b = 4.3418 Å, c = 6.1710 Å
α = 90.00°, β = 90.00°, γ = 90.00°
With the nearest neighbours (Å) after each atom.
Space group P4/mmm (No. 123)
Asymmetric unit:
Na  0.0000  0.0000  0.0000 x1  4 I 3.07
Mg  0.5000  0.5000  0.5000 x1  4 N 2.17
I  0.5000  0.5000  0.0000 x1  4 Na 3.07, 2 Mg 3.09
N  0.0000  0.5000  0.5000 x2  2 Mg 2.17



Compare the structures above. Which one is the least stable? entry i is.